No. 1
5
Lattice="5.786 0.000 0.000 0.000 5.786 0.000 0.000 0.000 5.786" Properties=species:S:1:pos:R:3 comment="Na3CuRe | the Alexandria database | PBE | optimized geometry" total_magnetization_mub_per_atom=0.6393 spacegroup="Pm-3m, No. 221" final_energy_ha_per_atom=-0.0875 pbc="T T T"
Na 0.000 0.000 2.893
Na 0.000 2.893 0.000
Na 2.893 0.000 0.000
Cu 2.893 2.893 2.893
Re 0.000 0.000 0.000

No. 2
8
Lattice="-2.289 2.289 9.040 2.289 -2.289 9.040 2.289 2.289 -9.040" Properties=species:S:1:pos:R:3 comment="NaCuRe2 | the Alexandria database | PBE | optimized geometry" total_magnetization_mub_per_atom=0.0000 spacegroup="I-42d, No. 122" final_energy_ha_per_atom=-0.2172 pbc="T T T"
Na 0.000 0.000 0.000
Na 0.000 2.289 4.520
Cu 2.289 0.000 4.520
Cu 0.000 0.000 9.040
Re 1.145 2.110 -2.260
Re 2.469 1.145 2.260
Re 1.145 0.180 6.780
Re -0.180 1.145 11.300

No. 3
5
Lattice="5.257 0.000 0.000 0.000 5.257 0.000 0.000 0.000 5.257" Properties=species:S:1:pos:R:3 comment="Na3CuRe | the Alexandria database | PBE | optimized geometry" total_magnetization_mub_per_atom=0.7190 spacegroup="Pm-3m, No. 221" final_energy_ha_per_atom=-0.0965 pbc="T T T"
Na 0.000 0.000 2.629
Na 0.000 2.629 0.000
Na 2.629 0.000 0.000
Cu 0.000 0.000 0.000
Re 2.629 2.629 2.629